Entry from the Open Quantum Materials Database: Nb2GaTe2 after structural relaxation (PBE).

Computed properties:
The value obtained for the volume is 127 Å³ per cell. The calculated total energy is -30.12 eV/f.u.

Cell lengths 8.4073, 8.4073, 8.4073 Å; angles 152.50, 152.50, 39.29 degrees
Element x y z (fractional)
Nb 0.7500 0.2500 0.5000
Ga 0.0000 0.0000 0.0000
Nb 0.2500 0.7500 0.5000
Te 0.6207 0.6207 0.0000
Te 0.3793 0.3793 0.0000

Entry from the Open Quantum Materials Database: SmSbIr after structural relaxation (PBE).

Computed properties:
The value obtained for the volume is 266 Å³ per cell. The calculated total energy is -20.34 eV/f.u.

Cell lengths 7.3083, 4.5666, 7.9702 Å; angles 90.00, 90.00, 90.00 degrees
Element x y z (fractional)
Ir 0.2952 0.2500 0.4112
Ir 0.7952 0.2500 0.0888
Sm 0.0116 0.2500 0.6926
Sb 0.1782 0.2500 0.0879
Sb 0.8218 0.7500 0.9121
Sm 0.9884 0.7500 0.3074
Sm 0.4884 0.7500 0.1926
Sm 0.5116 0.2500 0.8074
Ir 0.7048 0.7500 0.5888
Sb 0.3218 0.7500 0.5879
Ir 0.2048 0.7500 0.9112
Sb 0.6782 0.2500 0.4121

Entry from the Open Quantum Materials Database: Cu2Bi8Pb2S15 after structural relaxation (PBE).

Computed properties:
The value obtained for the volume is 2636 Å³ per cell. The calculated total energy is -118.70 eV/f.u.

Cell lengths 11.7131, 4.0326, 55.8017 Å; angles 90.00, 90.00, 90.00 degrees
Element x y z (fractional)
S 0.0406 0.2500 0.3255
S 0.7118 0.2500 0.4377
S 0.1271 0.7500 0.6122
Bi 0.1419 0.7500 0.2926
S 0.2118 0.2500 0.0623
S 0.7032 0.2500 0.0398
S 0.3905 0.2500 0.7097
Pb 0.3143 0.2500 0.1987
S 0.0525 0.2500 0.5255
S 0.7981 0.7500 0.7390
S 0.9475 0.7500 0.4745
S 0.7019 0.2500 0.2390
Bi 0.5203 0.2500 0.8634
S 0.4594 0.7500 0.8255
Bi 0.8549 0.2500 0.9069
S 0.1065 0.7500 0.4109
Bi 0.3548 0.2500 0.5931
S 0.2256 0.2500 0.8611
Bi 0.5070 0.2500 0.2655
S 0.4606 0.7500 0.6258
Pb 0.6816 0.7500 0.5998
Bi 0.9961 0.7500 0.5648
Bi 0.4930 0.7500 0.7345
Bi 0.6451 0.7500 0.4069
Bi 0.4797 0.7500 0.1366
S 0.3935 0.2500 0.9109
S 0.3729 0.2500 0.1122
Bi 0.9769 0.7500 0.9662
Bi 0.3446 0.2500 0.9923
S 0.5578 0.2500 0.7715
S 0.0394 0.2500 0.1258
S 0.5518 0.2500 0.5708
S 0.6320 0.7500 0.6878
Pb 0.1857 0.7500 0.6987
S 0.3680 0.2500 0.3122
S 0.4482 0.7500 0.4292
S 0.7256 0.2500 0.6389
Bi 0.8581 0.2500 0.7074
S 0.9594 0.7500 0.6745
S 0.5525 0.2500 0.9745
Cu 0.2226 0.2500 0.1417
Bi 0.5231 0.2500 0.4662
Pb 0.6857 0.7500 0.8013
S 0.0518 0.2500 0.9292
Bi 0.0231 0.2500 0.0338
S 0.4422 0.7500 0.2285
S 0.0578 0.2500 0.7285
S 0.8935 0.2500 0.5891
S 0.9482 0.7500 0.0708
S 0.7744 0.7500 0.1389
Bi 0.8446 0.2500 0.5077
S 0.7968 0.7500 0.5398
S 0.2019 0.2500 0.2610
Bi 0.0251 0.2500 0.8367
Cu 0.7211 0.2500 0.1571
S 0.6271 0.7500 0.8878
Bi 0.6554 0.7500 0.0077
S 0.2744 0.7500 0.3611
S 0.4475 0.7500 0.0255
S 0.3717 0.2500 0.5098
Pb 0.1816 0.7500 0.9002
S 0.2981 0.7500 0.7610
S 0.8729 0.2500 0.3878
Bi 0.5251 0.2500 0.6633
Bi 0.3581 0.2500 0.7926
S 0.8905 0.2500 0.7903
S 0.6065 0.7500 0.0891
Bi 0.4769 0.7500 0.5338
S 0.2762 0.7500 0.1598
Bi 0.4961 0.7500 0.9352
S 0.1283 0.7500 0.0098
Cu 0.7226 0.2500 0.3583
Cu 0.7774 0.7500 0.8583
Cu 0.2774 0.7500 0.6417
Cu 0.2789 0.7500 0.8429
Bi 0.9749 0.7500 0.1633
Bi 0.6419 0.7500 0.2074
S 0.9606 0.7500 0.8742
Bi 0.0039 0.2500 0.4352
S 0.2238 0.2500 0.6598
S 0.2968 0.7500 0.9602
S 0.7238 0.2500 0.8402
S 0.5394 0.2500 0.3742
S 0.7882 0.7500 0.9377
Cu 0.7789 0.7500 0.6571
Bi 0.0203 0.2500 0.6366
Bi 0.5039 0.2500 0.0648
Cu 0.2211 0.2500 0.3429
S 0.5406 0.2500 0.1745
S 0.8717 0.2500 0.9902
Bi 0.4749 0.7500 0.3367
Bi 0.1451 0.7500 0.0931
S 0.2882 0.7500 0.5623
S 0.2032 0.2500 0.4602
S 0.6095 0.7500 0.2903
Pb 0.8184 0.2500 0.0998
S 0.1095 0.7500 0.2097
S 0.9422 0.7500 0.2715
Bi 0.1554 0.7500 0.4923
Pb 0.8143 0.2500 0.3013
Bi 0.9797 0.7500 0.3634
S 0.8680 0.2500 0.1878
S 0.1320 0.7500 0.8122
Bi 0.0070 0.2500 0.2345
Pb 0.3184 0.2500 0.4002
S 0.6283 0.7500 0.4902
S 0.7762 0.7500 0.3402
Bi 0.9930 0.7500 0.7655

Entry from the Open Quantum Materials Database: GdHgSO after structural relaxation (PBE).

Computed properties:
The value obtained for the volume is 211 Å³ per cell. The calculated total energy is -20.46 eV/f.u.

Cell lengths 4.6774, 8.6456, 5.2080 Å; angles 90.00, 90.00, 90.00 degrees
Element x y z (fractional)
O 0.5000 0.0928 0.1635
Hg 0.0000 0.3114 0.1291
S 0.0000 0.3064 0.6346
Gd 0.5000 0.8566 0.0638
Hg 0.0000 0.6886 0.6291
O 0.5000 0.9072 0.6635
S 0.0000 0.6936 0.1346
Gd 0.5000 0.1434 0.5638

Entry from the Open Quantum Materials Database: TbSiAsO after structural relaxation (PBE).

Computed properties:
The value obtained for the volume is 158 Å³ per cell. The calculated total energy is -25.58 eV/f.u.

Cell lengths 3.7567, 6.0937, 6.8963 Å; angles 90.00, 90.00, 90.00 degrees
Element x y z (fractional)
Tb 0.0000 0.7422 0.9748
Tb 0.0000 0.2578 0.4748
As 0.0000 0.2272 0.8993
As 0.0000 0.7728 0.3993
Si 0.5000 0.6240 0.5827
O 0.5000 0.2423 0.2973
O 0.5000 0.7577 0.7973
Si 0.5000 0.3760 0.0827

Entry from the Open Quantum Materials Database: CuBMoPt after structural relaxation (PBE).

Computed properties:
The value obtained for the volume is 52 Å³ per cell. The calculated total energy is -25.34 eV/f.u.

Cell lengths 4.1905, 4.1905, 4.1905 Å; angles 60.00, 60.00, 60.00 degrees
Element x y z (fractional)
B 0.0000 0.0000 0.0000
Cu 0.7500 0.7500 0.7500
Pt 0.5000 0.5000 0.5000
Mo 0.2500 0.2500 0.2500

Entry from the Open Quantum Materials Database: GdBO3 after structural relaxation (PBE).

Computed properties:
The value obtained for the volume is 333 Å³ per cell. The calculated total energy is -40.61 eV/f.u.

Cell lengths 6.3427, 6.3427, 10.2446 Å; angles 108.03, 90.00, 120.00 degrees
Element x y z (fractional)
Gd 0.0828 0.5000 0.2500
O 0.0985 0.9128 0.3699
Gd 0.2500 0.8328 0.7500
O 0.5990 0.9135 0.8700
B 0.2555 0.0000 0.5000
O 0.0436 0.7291 0.1300
B 0.7553 0.0000 0.0000
O 0.9015 0.4444 0.6301
O 0.3145 0.2709 0.8700
O 0.2250 0.0000 0.0000
O 0.7750 0.7750 0.0000
B 0.7445 0.2445 0.5000
O 0.5429 0.7286 0.6301
O 0.7248 0.0000 0.5000
Gd 0.4171 0.1672 0.2500
Gd 0.7500 0.8328 0.2500
O 0.4571 0.5556 0.3699
B 0.5000 0.7555 0.5000
O 0.2752 0.7752 0.5000
Gd 0.9172 0.1672 0.7500
O 0.9564 0.5555 0.8700
O 0.1857 0.0872 0.6301
B 0.0000 0.7553 0.0000
O 0.5000 0.2248 0.5000
Gd 0.5829 0.5000 0.7500
B 0.2447 0.2447 0.0000
O 0.8143 0.2714 0.3699
O 0.6855 0.0865 0.1300
O 0.0000 0.2250 0.0000
O 0.4010 0.4445 0.1300

Entry from the Open Quantum Materials Database: Zr2HgTeSe3 after structural relaxation (PBE).

Computed properties:
The value obtained for the volume is 276 Å³ per cell. The calculated total energy is -35.84 eV/f.u.

Cell lengths 7.0092, 7.2084, 7.3166 Å; angles 117.20, 90.63, 118.58 degrees
Element x y z (fractional)
Zr 0.4927 0.9942 0.4926
Zr 0.7449 0.5048 0.2551
Se 0.1169 0.7269 0.5381
Hg 0.0093 0.9739 0.9940
Se 0.4569 0.2863 0.4118
Te 0.8387 0.2823 0.8731
Se 0.5906 0.7317 0.1854

Entry from the Open Quantum Materials Database: Li4ZnCuPt2 after structural relaxation (PBE).

Computed properties:
The value obtained for the volume is 108 Å³ per cell. The calculated total energy is -28.46 eV/f.u.

Cell lengths 4.2355, 4.2355, 6.0139 Å; angles 90.00, 90.00, 90.00 degrees
Element x y z (fractional)
Li 0.5000 0.5000 0.0000
Zn 0.5000 0.5000 0.5000
Li 0.0000 0.0000 0.5000
Li 0.0000 0.5000 0.7559
Pt 0.5000 0.0000 0.7498
Pt 0.0000 0.5000 0.2502
Li 0.5000 0.0000 0.2441
Cu 0.0000 0.0000 0.0000

Entry from the Open Quantum Materials Database: YLuPd after structural relaxation (PBE).

Computed properties:
The value obtained for the volume is 294 Å³ per cell. The calculated total energy is -18.16 eV/f.u. As for the formation energy: -667 meV per atom.

Cell lengths 7.0732, 4.8110, 8.6424 Å; angles 90.00, 90.00, 90.00 degrees
Element x y z (fractional)
Lu 0.1443 0.2500 0.0772
Lu 0.6443 0.2500 0.4228
Pd 0.2500 0.7500 0.9037
Y 0.9834 0.7500 0.3259
Y 0.5166 0.2500 0.8259
Pd 0.7500 0.7500 0.5963
Lu 0.3557 0.7500 0.5772
Pd 0.2500 0.2500 0.4037
Pd 0.7500 0.2500 0.0963
Lu 0.8557 0.7500 0.9228
Y 0.0166 0.2500 0.6741
Y 0.4834 0.7500 0.1741

Entry from the Open Quantum Materials Database: Y2ZnIr after structural relaxation (PBE).

Computed properties:
The value obtained for the volume is 86 Å³ per cell. The calculated total energy is -25.47 eV/f.u. As for the formation energy: -606 meV per atom.

Cell lengths 3.4950, 3.4950, 7.0792 Å; angles 90.00, 90.00, 90.00 degrees
Element x y z (fractional)
Zn 0.0000 0.0000 0.5000
Ir 0.0000 0.0000 0.0000
Y 0.5000 0.5000 0.7648
Y 0.5000 0.5000 0.2352

Entry from the Open Quantum Materials Database: Hf31PdO64 after structural relaxation (PBE).

Computed properties:
The value obtained for the volume is 1048 Å³ per cell. The calculated total energy is -958.77 eV/f.u.

Cell lengths 9.9860, 10.0830, 10.4112 Å; angles 89.85, 89.76, 89.83 degrees
Element x y z (fractional)
O 0.8367 0.5636 0.9394
O 0.3355 0.9375 0.0586
O 0.4155 0.9378 0.8087
O 0.8356 0.0627 0.9395
O 0.3366 0.6894 0.4379
O 0.3363 0.4384 0.0623
O 0.5836 0.9855 0.4885
Hf 0.7390 0.3742 0.3914
O 0.4148 0.6859 0.6881
O 0.9168 0.5622 0.6894
O 0.6489 0.4971 0.7447
O 0.6462 0.7490 0.2568
O 0.1000 0.0000 0.4942
O 0.1011 0.9996 0.9955
O 0.1510 0.2522 0.7463
O 0.8403 0.3162 0.5596
O 0.4072 0.9390 0.3046
Hf 0.0158 0.3786 0.6458
O 0.1009 0.7492 0.5048
O 0.6048 0.7426 0.4958
O 0.6490 0.4977 0.2445
O 0.6462 0.9975 0.2401
O 0.8360 0.8085 0.5611
Hf 0.5101 0.6233 0.8569
O 0.1040 0.2497 0.0082
Hf 0.0070 0.8777 0.6408
O 0.6020 0.4950 0.5045
Hf 0.7370 0.8772 0.3969
Hf 0.0108 0.6280 0.8576
O 0.4141 0.1880 0.1874
O 0.1034 0.2491 0.5074
Hf 0.7436 0.3788 0.8956
O 0.3369 0.4380 0.5621
O 0.6032 0.5019 0.0064
O 0.8367 0.3114 0.0631
Hf 0.2418 0.1221 0.1085
O 0.6013 0.0006 0.0011
O 0.1442 0.0018 0.2556
Hf 0.7408 0.8778 0.8896
O 0.3303 0.9360 0.5622
O 0.1476 0.7527 0.7430
Hf 0.0086 0.6274 0.3577
O 0.6073 0.2426 0.5028
Hf 0.5094 0.3723 0.1425
O 0.4149 0.4367 0.3120
Hf 0.2429 0.3728 0.8941
O 0.6478 0.7490 0.7548
Hf 0.5102 0.1210 0.8544
Hf 0.0076 0.8773 0.1435
O 0.9180 0.3162 0.8135
O 0.1471 0.7514 0.2437
O 0.6020 0.2517 0.9936
O 0.1438 0.0027 0.7557
O 0.6554 0.2462 0.7595
Hf 0.2414 0.6246 0.6067
O 0.1474 0.2505 0.2470
O 0.6490 0.9999 0.7313
Hf 0.0071 0.1284 0.3594
O 0.6025 0.7513 0.9932
Hf 0.7381 0.1261 0.1061
Hf 0.5094 0.6210 0.3569
Pd 0.7522 0.1465 0.6148
Hf 0.2404 0.6237 0.1069
O 0.9143 0.5631 0.1888
O 0.9126 0.8123 0.3116
O 0.4147 0.6864 0.1877
Hf 0.2399 0.8738 0.8915
O 0.1020 0.7501 0.0050
Hf 0.2411 0.3727 0.3932
O 0.9092 0.0618 0.1946
O 0.4172 0.4358 0.8130
Hf 0.2409 0.1225 0.6079
O 0.8369 0.5571 0.4398
O 0.1482 0.5014 0.2562
O 0.6464 0.2475 0.2579
Hf 0.5096 0.1190 0.3580
O 0.9144 0.3127 0.3119
O 0.3355 0.6883 0.9375
O 0.9173 0.0673 0.6916
O 0.3378 0.1885 0.4398
O 0.1028 0.4994 0.9949
O 0.3366 0.1867 0.9382
Hf 0.7403 0.6285 0.1079
O 0.9145 0.8125 0.8108
O 0.8346 0.8137 0.0600
Hf 0.5091 0.8718 0.6371
O 0.4145 0.1886 0.6888
Hf 0.5090 0.8720 0.1407
O 0.8304 0.0642 0.4485
O 0.1513 0.5024 0.7565
O 0.1038 0.4995 0.4950
Hf 0.2377 0.8735 0.3919
Hf 0.7415 0.6233 0.6076
Hf 0.0106 0.3779 0.1439
Hf 0.5093 0.3711 0.6434
Hf 0.0098 0.1299 0.8608